Entry 1:
Computed, not measured: a geometry-optimized Li2Mg3In3 structure at the PBE level of DFT. Values from VASP.

Cell and atoms, written as Quantum ESPRESSO input:
```
&SYSTEM
  ibrav = 0, nat = 8, ntyp = 3
/
ATOMIC_SPECIES
Li 6.94 Li.upf
Mg 24.30 Mg.upf
In 114.82 In.upf
CELL_PARAMETERS angstrom
4.4181 0.0000 0.0000
0.0000 4.4487 0.0000
0.0000 0.0000 8.8332
ATOMIC_POSITIONS crystal
Li 0.0000 0.0000 0.2451
Li 0.0000 0.0000 0.7549
Mg 0.5000 0.0000 0.5000
Mg 0.5000 0.5000 0.2492
Mg 0.5000 0.5000 0.7508
In 0.0000 0.5000 0.0000
In 0.0000 0.5000 0.5000
In 0.5000 0.0000 0.0000
```

Summary:
- Formation energy from the elements: -0.169 eV per atom
- Mass density: 4.1 g/cm3
- DOS at the Fermi energy: 0.196 states/eV per atom
- Volume: 173.61 Å³/cell
- Uncorrected energy: -2.2722 eV per atom

Entry 2:
Computed, not measured: a geometry-optimized LiMg2In structure at the PBE level of DFT. Values from VASP.

Cell and atoms, written as Quantum ESPRESSO input:
```
&SYSTEM
  ibrav = 0, nat = 4, ntyp = 3
/
ATOMIC_SPECIES
Li 6.94 Li.upf
Mg 24.30 Mg.upf
In 114.82 In.upf
CELL_PARAMETERS angstrom
5.1098 -1.6827 0.0000
5.1098 1.6827 0.0000
-1.1974 0.0000 5.0868
ATOMIC_POSITIONS crystal
Li 0.0000 0.0000 0.0000
Mg 0.5078 0.5078 0.5108
Mg 0.7519 0.7519 0.2455
In 0.2590 0.2590 0.7587
```

Summary:
- Formation energy from the elements: -0.113 eV per atom
- Mass density: 3.2 g/cm3
- DOS at the Fermi energy: 0.298 states/eV per atom
- Volume: 87.48 Å³/cell
- Uncorrected energy: -2.0733 eV per atom

Entry 3:
Computed, not measured: a geometry-optimized Li4Mg2In structure at the PBE level of DFT. Values from VASP.

Cell and atoms, written as Quantum ESPRESSO input:
```
&SYSTEM
  ibrav = 0, nat = 7, ntyp = 3
/
ATOMIC_SPECIES
Li 6.94 Li.upf
Mg 24.30 Mg.upf
In 114.82 In.upf
CELL_PARAMETERS angstrom
-1.4921 2.3531 9.8506
1.4921 -2.3531 9.8506
1.4921 2.3531 -9.8506
ATOMIC_POSITIONS crystal
Li 0.0672 0.0672 0.0000
Li 0.3627 0.8627 0.5000
Li 0.6373 0.1373 0.5000
Li 0.9328 0.9328 0.0000
Mg 0.2091 0.7091 0.5000
Mg 0.7909 0.2909 0.5000
In 0.5000 0.5000 0.0000
```

Summary:
- Formation energy from the elements: -0.146 eV per atom
- Mass density: 2.3 g/cm3
- DOS at the Fermi energy: 0.283 states/eV per atom
- Volume: 138.34 Å³/cell
- Uncorrected energy: -2.0864 eV per atom

Entry 4:
Computed, not measured: a geometry-optimized Li6Mg2In structure at the PBE level of DFT. Values from VASP.

Cell and atoms, written as Quantum ESPRESSO input:
```
&SYSTEM
  ibrav = 0, nat = 9, ntyp = 3
/
ATOMIC_SPECIES
Li 6.94 Li.upf
Mg 24.30 Mg.upf
In 114.82 In.upf
CELL_PARAMETERS angstrom
4.6393 -6.9102 0.0000
4.6393 6.9102 0.0000
-0.7929 0.0000 2.9169
ATOMIC_POSITIONS crystal
Li 0.1519 0.8481 0.0000
Li 0.1589 0.5113 0.2840
Li 0.4887 0.8411 0.7160
Li 0.5113 0.1589 0.2840
Li 0.8411 0.4887 0.7160
Li 0.8481 0.1519 0.0000
Mg 0.1830 0.1830 0.6644
Mg 0.8170 0.8170 0.3356
In 0.5000 0.5000 0.5000
```

Summary:
- Formation energy from the elements: -0.053 eV per atom
- Mass density: 1.8 g/cm3
- DOS at the Fermi energy: 0.309 states/eV per atom
- Volume: 187.02 Å³/cell
- Uncorrected energy: -1.9880 eV per atom

Entry 5:
Computed, not measured: a geometry-optimized LiMgIn2 structure at the PBE level of DFT. Values from VASP.

Cell and atoms, written as Quantum ESPRESSO input:
```
&SYSTEM
  ibrav = 0, nat = 4, ntyp = 3
/
ATOMIC_SPECIES
Li 6.94 Li.upf
Mg 24.30 Mg.upf
In 114.82 In.upf
CELL_PARAMETERS angstrom
-2.2375 2.2375 4.3744
2.2375 -2.2375 4.3744
2.2375 2.2375 -4.3744
ATOMIC_POSITIONS crystal
Li 0.0000 0.0000 0.0000
Mg 0.5000 0.5000 0.0000
In 0.2500 0.7500 0.5000
In 0.7500 0.2500 0.5000
```

Summary:
- Formation energy from the elements: -0.187 eV per atom
- Mass density: 4.9 g/cm3
- DOS at the Fermi energy: 0.325 states/eV per atom
- Volume: 87.60 Å³/cell
- Uncorrected energy: -2.4337 eV per atom

Entry 6:
Computed, not measured: a geometry-optimized Li6MgIn10 structure at the PBE level of DFT. Values from VASP.

Cell and atoms, written as Quantum ESPRESSO input:
```
&SYSTEM
  ibrav = 0, nat = 17, ntyp = 3
/
ATOMIC_SPECIES
Li 6.94 Li.upf
Mg 24.30 Mg.upf
In 114.82 In.upf
CELL_PARAMETERS angstrom
8.4332 0.0000 0.0000
-4.2166 7.3034 0.0000
0.0000 0.0000 6.1547
ATOMIC_POSITIONS crystal
Li 0.0000 0.3615 0.3238
Li 0.0000 0.6385 0.6762
Li 0.3615 0.0000 0.3238
Li 0.3615 0.3615 0.6762
Li 0.6385 0.0000 0.6762
Li 0.6385 0.6385 0.3238
Mg 0.0000 0.0000 0.5000
In 0.0000 0.2861 0.8173
In 0.0000 0.7139 0.1827
In 0.2861 0.0000 0.8173
In 0.2861 0.2861 0.1827
In 0.3333 0.6667 0.0000
In 0.3333 0.6667 0.5000
In 0.6667 0.3333 0.0000
In 0.6667 0.3333 0.5000
In 0.7139 0.0000 0.1827
In 0.7139 0.7139 0.8173
```

Summary:
- Formation energy from the elements: -0.152 eV per atom
- Mass density: 5.3 g/cm3
- DOS at the Fermi energy: 0.467 states/eV per atom
- Volume: 379.08 Å³/cell
- Uncorrected energy: -2.5318 eV per atom

Entry 7:
Computed, not measured: a geometry-optimized LiMg6In structure at the PBE level of DFT. Values from VASP.

Cell and atoms, written as Quantum ESPRESSO input:
```
&SYSTEM
  ibrav = 0, nat = 8, ntyp = 3
/
ATOMIC_SPECIES
Li 6.94 Li.upf
Mg 24.30 Mg.upf
In 114.82 In.upf
CELL_PARAMETERS angstrom
4.4488 0.0000 0.0000
0.0000 4.4488 0.0000
0.0000 0.0000 9.0131
ATOMIC_POSITIONS crystal
Li 0.0000 0.0000 0.0000
Mg 0.0000 0.5000 0.2484
Mg 0.0000 0.5000 0.7516
Mg 0.5000 0.0000 0.2484
Mg 0.5000 0.0000 0.7516
Mg 0.5000 0.5000 0.0000
Mg 0.5000 0.5000 0.5000
In 0.0000 0.0000 0.5000
```

Summary:
- Formation energy from the elements: -0.045 eV per atom
- Mass density: 2.5 g/cm3
- DOS at the Fermi energy: 0.457 states/eV per atom
- Volume: 178.38 Å³/cell
- Uncorrected energy: -1.8220 eV per atom

Entry 8:
Computed, not measured: a geometry-optimized Li2Mg3In2 structure at the PBE level of DFT. Values from VASP.

Cell and atoms, written as Quantum ESPRESSO input:
```
&SYSTEM
  ibrav = 0, nat = 7, ntyp = 3
/
ATOMIC_SPECIES
Li 6.94 Li.upf
Mg 24.30 Mg.upf
In 114.82 In.upf
CELL_PARAMETERS angstrom
4.1441 -2.4802 0.0000
4.1441 2.4802 0.0000
-3.1592 0.0000 7.1764
ATOMIC_POSITIONS crystal
Li 0.2262 0.2262 0.1593
Li 0.7738 0.7738 0.8407
Mg 0.3565 0.3565 0.5810
Mg 0.5000 0.5000 0.0000
Mg 0.6435 0.6435 0.4190
In 0.0735 0.0735 0.7445
In 0.9265 0.9265 0.2555
```

Summary:
- Formation energy from the elements: -0.139 eV per atom
- Mass density: 3.6 g/cm3
- DOS at the Fermi energy: 0.392 states/eV per atom
- Volume: 147.52 Å³/cell
- Uncorrected energy: -2.1512 eV per atom